# PBE-GGA InCu2Pb, optimized geometry
# magnetic moment: 0.000 μB per atom
# volume: 327.90 Å³/cell
# DFT formation energy: 0.408 eV/atom
data_InCu2Pb
_cell_length_a 6.896
_cell_length_b 6.896
_cell_length_c 6.896
_cell_angle_alpha 90.00
_cell_angle_beta 90.00
_cell_angle_gamma 90.00
_space_group_name_H-M_alt 'F -4 3 m'
_space_group_IT_number 216
_space_group_name_Hall 'F -4 2 3'
loop_
_atom_site_label
_atom_site_fract_x
_atom_site_fract_y
_atom_site_fract_z
_atom_site_occupancy
In1 0.000 0.000 0.000 1
Cu1 0.000 0.000 0.500 1
Cu2 0.250 0.250 0.750 1
Pb1 0.250 0.250 0.250 1

---

# PBE-GGA TlSbOs2, optimized geometry
# magnetic moment: 0.000 μB per atom
# volume: 71.54 Å³/cell
# relative energy among the computed polymorphs: 342 meV/atom
# raw formation energy: 0.810 eV/atom
data_TlSbOs2
_cell_length_a 3.233
_cell_length_b 3.233
_cell_length_c 6.846
_cell_angle_alpha 90.00
_cell_angle_beta 90.00
_cell_angle_gamma 90.00
_space_group_name_H-M_alt 'P 4/m m m'
_space_group_IT_number 123
_space_group_name_Hall '-P 4 2'
loop_
_atom_site_label
_atom_site_fract_x
_atom_site_fract_y
_atom_site_fract_z
_atom_site_occupancy
Tl1 0.000 0.000 0.000 1
Sb1 0.000 0.000 0.500 1
Os1 0.500 0.500 0.275 1

---

# PBE-GGA CsRb2HgAs, optimized geometry
# magnetic moment: 0.000 μB per atom
# volume: 329.97 Å³/cell
# relative energy among the computed polymorphs: 0 meV/atom
# DFT formation energy: -0.149 eV/atom
data_CsRb2HgAs
_cell_length_a 6.815
_cell_length_b 6.815
_cell_length_c 7.105
_cell_angle_alpha 90.00
_cell_angle_beta 90.00
_cell_angle_gamma 90.00
_space_group_name_H-M_alt 'P 4/m m m'
_space_group_IT_number 123
_space_group_name_Hall '-P 4 2'
loop_
_atom_site_label
_atom_site_fract_x
_atom_site_fract_y
_atom_site_fract_z
_atom_site_occupancy
Cs1 0.000 0.000 0.000 1
Rb1 0.000 0.500 0.500 1
Hg1 0.500 0.500 0.000 1
As1 0.000 0.000 0.500 1